Record 1
First-principles (PBE-GGA) data for a relaxed structure of Er2TiC, as listed in Alexandria via LeMat-Bulk.

Cell and atoms, written as POSCAR:
```
Er2TiC
1.0
1.7119 0.9884 8.8470
-1.7119 0.9884 8.8470
0.0000 -1.9767 8.8470
Er Ti C
2 1 1
Direct
0.1157 0.1157 0.1157
0.8843 0.8843 0.8843
0.0000 0.0000 0.0000
0.5000 0.5000 0.5000
```

DFT total energy = -25.55 eV/cell
formation enthalpy at 0 K = 0.7 eV/f.u.
space-group type = R-3m (166)



Record 2
First-principles (PBE-GGA) data for a relaxed structure of Er5Tl2C2, as listed in Alexandria via LeMat-Bulk.

Cell and atoms, written as POSCAR:
```
Er5Tl2C2
1.0
4.7778 0.0000 0.0000
0.0000 4.7778 0.0000
0.0000 0.0000 9.6195
Er Tl C
5 2 2
Direct
0.0000 0.0000 0.0000
0.0000 0.5000 0.2781
0.0000 0.5000 0.7219
0.5000 0.0000 0.2781
0.5000 0.0000 0.7219
0.5000 0.5000 0.0000
0.5000 0.5000 0.5000
0.0000 0.0000 0.2400
0.0000 0.0000 0.7600
```

DFT total energy = -47.62 eV/cell
formation enthalpy at 0 K = -1.6 eV/f.u.
space-group type = P4/mmm (123)



Record 3
First-principles (PBE-GGA) data for a relaxed structure of Er8Tl2C3, as listed in Alexandria via LeMat-Bulk.

Cell and atoms, written as POSCAR:
```
Er8Tl2C3
1.0
7.5268 -3.5840 0.0000
7.5268 3.5840 0.0000
-1.7519 0.0000 6.0354
Er Tl C
8 2 3
Direct
0.0958 0.0958 0.8960
0.1535 0.6705 0.6133
0.3295 0.8465 0.3867
0.3964 0.3964 0.0530
0.6036 0.6036 0.9470
0.6705 0.1535 0.6133
0.8465 0.3295 0.3867
0.9042 0.9042 0.1040
0.2560 0.2560 0.3458
0.7440 0.7440 0.6542
0.0000 0.0000 0.5000
0.2543 0.7457 0.0000
0.7457 0.2543 0.0000
```

DFT total energy = -71.96 eV/cell
formation enthalpy at 0 K = -3.1 eV/f.u.
space-group type = C2/m (12)



Record 4
First-principles (PBE-GGA) data for a relaxed structure of Er3TlC, as listed in Alexandria via LeMat-Bulk.

Cell and atoms, written as POSCAR:
```
Er3TlC
1.0
5.5603 0.0000 0.0000
0.0000 5.5603 0.0000
0.0000 0.0000 5.5603
Er Tl C
3 1 1
Direct
0.0000 0.0000 0.5000
0.0000 0.5000 0.0000
0.5000 0.0000 0.0000
0.0000 0.0000 0.0000
0.5000 0.5000 0.5000
```

DFT total energy = -17.16 eV/cell
formation enthalpy at 0 K = 8.1 eV/f.u.
space-group type = Pm-3m (221)



Record 5
First-principles (PBE-GGA) data for a relaxed structure of Er3TlC, as listed in Alexandria via LeMat-Bulk.

Cell and atoms, written as POSCAR:
```
Er3TlC
1.0
4.8665 0.0000 0.0000
0.0000 4.8665 0.0000
0.0000 0.0000 4.8665
Er Tl C
3 1 1
Direct
0.0000 0.0000 0.5000
0.0000 0.5000 0.0000
0.5000 0.0000 0.0000
0.5000 0.5000 0.5000
0.0000 0.0000 0.0000
```

DFT total energy = -27.73 eV/cell
formation enthalpy at 0 K = -2.5 eV/f.u.
space-group type = Pm-3m (221)



Record 6
First-principles (PBE-GGA) data for a relaxed structure of Er2Tl2C, as listed in Alexandria via LeMat-Bulk.

Cell and atoms, written as POSCAR:
```
Er2Tl2C
1.0
1.8026 1.0407 10.4090
-1.8026 1.0407 10.4090
0.0000 -2.0815 10.4090
Er Tl C
2 2 1
Direct
0.1251 0.1251 0.1251
0.8749 0.8749 0.8749
0.2937 0.2937 0.2937
0.7063 0.7063 0.7063
0.5000 0.5000 0.5000
```

DFT total energy = -24.62 eV/cell
formation enthalpy at 0 K = -1.5 eV/f.u.
space-group type = R-3m (166)



Record 7
First-principles (PBE-GGA) data for a relaxed structure of Er7Tl2C2, as listed in Alexandria via LeMat-Bulk.

Cell and atoms, written as POSCAR:
```
Er7Tl2C2
1.0
-1.7330 7.3060 5.2080
1.7330 -7.3060 5.2080
1.7330 7.3060 -5.2080
Er Tl C
7 2 2
Direct
0.0000 0.0000 0.0000
0.0290 0.6843 0.3447
0.0731 0.3806 0.6925
0.3396 0.6843 0.6553
0.4275 0.5680 0.8595
0.6881 0.3806 0.3075
0.7086 0.5680 0.1405
0.3308 0.3308 0.0000
0.7407 0.2407 0.5000
0.2862 0.0526 0.2335
0.8191 0.0526 0.7665
```

DFT total energy = -56.57 eV/cell
formation enthalpy at 0 K = -1.4 eV/f.u.
space-group type = Imm2 (44)



Record 8
First-principles (PBE-GGA) data for a relaxed structure of Er4TlC2, as listed in Alexandria via LeMat-Bulk.

Cell and atoms, written as POSCAR:
```
Er4TlC2
1.0
1.7863 1.0313 14.1891
-1.7863 1.0313 14.1891
0.0000 -2.0627 14.1891
Er Tl C
4 1 2
Direct
0.1244 0.1244 0.1244
0.2714 0.2714 0.2714
0.7286 0.7286 0.7286
0.8756 0.8756 0.8756
0.0000 0.0000 0.0000
0.4280 0.4280 0.4280
0.5720 0.5720 0.5720
```

DFT total energy = -41.65 eV/cell
formation enthalpy at 0 K = -2.6 eV/f.u.
space-group type = R-3m (166)



Record 9
First-principles (PBE-GGA) data for a relaxed structure of Er7Tl2C, as listed in Alexandria via LeMat-Bulk.

Cell and atoms, written as POSCAR:
```
Er7Tl2C
1.0
0.0000 5.1714 5.1714
5.1714 0.0000 5.1714
5.1714 5.1714 0.0000
Er Tl C
7 2 1
Direct
0.0000 0.0000 0.0000
0.2707 0.2707 0.7293
0.2707 0.7293 0.2707
0.2707 0.7293 0.7293
0.7293 0.2707 0.2707
0.7293 0.2707 0.7293
0.7293 0.7293 0.2707
0.2500 0.2500 0.2500
0.7500 0.7500 0.7500
0.5000 0.5000 0.5000
```

DFT total energy = -43.41 eV/cell
formation enthalpy at 0 K = 2.5 eV/f.u.
space-group type = Fm-3m (225)



Record 10
First-principles (PBE-GGA) data for a relaxed structure of Er3Tl2C, as listed in Alexandria via LeMat-Bulk.

Cell and atoms, written as POSCAR:
```
Er3Tl2C
1.0
4.2300 -5.6617 0.0000
4.2300 5.6617 0.0000
-1.7509 0.0000 6.1925
Er Tl C
6 4 2
Direct
0.0000 0.5000 0.0000
0.0891 0.2346 0.4934
0.2346 0.0891 0.9934
0.5000 0.0000 0.5000
0.7654 0.9109 0.0066
0.9109 0.7654 0.5066
0.3040 0.6960 0.7500
0.4308 0.5692 0.2500
0.5692 0.4308 0.7500
0.6960 0.3040 0.2500
0.0676 0.9324 0.2500
0.9324 0.0676 0.7500
```

DFT total energy = -57.70 eV/cell
formation enthalpy at 0 K = -1.2 eV/f.u.
space-group type = C2/c (15)



Record 11
First-principles (PBE-GGA) data for a relaxed structure of Er3Tl2C, as listed in Alexandria via LeMat-Bulk.

Cell and atoms, written as POSCAR:
```
Er3Tl2C
1.0
2.4563 -8.0213 0.0000
2.4563 8.0213 0.0000
0.0000 0.0000 3.5928
Er Tl C
3 2 1
Direct
0.0000 0.0000 0.0000
0.3959 0.6041 0.5000
0.6041 0.3959 0.5000
0.1933 0.8067 0.0000
0.8067 0.1933 0.0000
0.5000 0.5000 0.0000
```

DFT total energy = -29.93 eV/cell
formation enthalpy at 0 K = -2.3 eV/f.u.
space-group type = Cmmm (65)



Record 12
First-principles (PBE-GGA) data for a relaxed structure of Er2TlC, as listed in Alexandria via LeMat-Bulk.

Cell and atoms, written as POSCAR:
```
Er2TlC
1.0
1.7933 1.0353 8.0312
-1.7933 1.0353 8.0312
0.0000 -2.0707 8.0312
Er Tl C
2 1 1
Direct
0.2219 0.2219 0.2219
0.7781 0.7781 0.7781
0.0000 0.0000 0.0000
0.5000 0.5000 0.5000
```

DFT total energy = -22.36 eV/cell
formation enthalpy at 0 K = -1.6 eV/f.u.
space-group type = R-3m (166)